[1]
PBE Cs6Tl8Pd, optimized geometry; symmetry = No. 148; energy relative to the elements = -0.076 eV/atom; total energy = -2.025 eV per atom; total magnetization = 0.000 μB/atom
1.0
0.418 -2.954 8.613
-3.288 -7.109 -4.662
8.714 0.571 -2.611
Tl Pd Cs
8 1 6
direct
0.637 0.637 0.637
0.118 0.326 0.031
0.031 0.118 0.326
0.326 0.031 0.118
0.969 0.882 0.674
0.882 0.674 0.969
0.674 0.969 0.882
0.363 0.363 0.363
0.000 0.000 0.000
0.787 0.240 0.632
0.213 0.760 0.368
0.760 0.368 0.213
0.368 0.213 0.760
0.240 0.632 0.787
0.632 0.787 0.240


[2]
PBE Cs2Tl7Pd, optimized geometry; symmetry = No. 115; energy relative to the elements = -0.052 eV/atom; total energy = -2.398 eV per atom; total magnetization = 0.000 μB/atom
1.0
-0.979 -4.373 2.796
-1.749 -2.401 -4.368
11.912 -4.229 -2.444
Tl Cs Pd
7 2 1
direct
0.000 0.500 0.642
0.500 0.000 0.358
0.500 0.500 0.500
0.000 0.000 0.500
0.500 0.000 0.106
0.000 0.500 0.894
0.000 0.000 0.000
0.000 0.500 0.236
0.500 0.000 0.764
0.500 0.500 0.000


[3]
PBE CsTl6Pd, optimized geometry; symmetry = No. 123; energy relative to the elements = -0.055 eV/atom; total energy = -2.585 eV per atom; total magnetization = 0.000 μB/atom
1.0
-2.628 2.026 3.801
2.610 -2.794 3.293
6.975 7.493 0.829
Cs Tl Pd
1 6 1
direct
0.000 0.000 0.000
0.500 0.000 0.348
0.500 0.500 0.845
0.000 0.500 0.652
0.500 0.000 0.652
0.500 0.500 0.155
0.000 0.500 0.348
0.000 0.000 0.500